FeSeF2 PBE with a Hubbard U optimized geometry; VASP energy = -4.719 eV per atom; polymorph energy (0 for the lowest one) = 0.0 meV per atom; DOS at the Fermi energy = 1.8 states/eV/cell; calculated density = 3.70 g/cm3; symmetry = R-3m (166)
1.0
1.548 0.894 9.346
-1.548 0.894 9.346
0.000 -1.787 9.346
Fe Se F
1 1 2
direct
0.000 0.000 0.000
0.500 0.500 0.500
0.371 0.371 0.371
0.629 0.629 0.629